# Er2Ge5, PBEsol geometry, DFT SCAN
data_Er2Ge5
_chemical_formula_sum 'Er4 Ge10'
_cell_length_a 3.8684
_cell_length_b 3.9755
_cell_length_c 17.8783
_cell_angle_alpha 90.00
_cell_angle_beta 90.00
_cell_angle_gamma 90.00
_symmetry_space_group_name_H-M 'P m m n'
_symmetry_Int_Tables_number 59
loop_
_symmetry_equiv_pos_as_xyz
'x,y,z'
'-x,-y,-z'
'-x+1/2,-y+1/2,z'
'x+1/2,y+1/2,-z'
'x+1/2,-y,-z'
'-x+1/2,y,z'
'-x,y+1/2,-z'
'x,-y+1/2,z'
loop_
_atom_site_label
_atom_site_type_symbol
_atom_site_fract_x
_atom_site_fract_y
_atom_site_fract_z
Er1 Er 0.2500 0.2500 0.1271
Er2 Er 0.2500 0.7500 0.6922
Ge1 Ge 0.2500 0.2500 0.4314
Ge2 Ge 0.2500 0.2500 0.5700
Ge3 Ge 0.2500 0.2500 0.8326
Ge4 Ge 0.2500 0.7500 0.0023
Ge5 Ge 0.2500 0.7500 0.2612
# Formation enthalpy at 0 K (meV per atom): -561.9
# ρ (g/cm3): 8.4



# Hf2GeAuO, PBEsol geometry, DFT SCAN
data_Hf2GeAuO
_chemical_formula_sum 'Hf2 Ge1 Au1 O1'
_cell_length_a 4.2117
_cell_length_b 4.2117
_cell_length_c 4.6800
_cell_angle_alpha 90.00
_cell_angle_beta 90.00
_cell_angle_gamma 90.00
_symmetry_space_group_name_H-M 'P 4/m m m'
_symmetry_Int_Tables_number 123
_symmetry_space_group_name_Hall '-P 4 2'
loop_
_atom_site_label
_atom_site_type_symbol
_atom_site_fract_x
_atom_site_fract_y
_atom_site_fract_z
Hf1 Hf 0.0000 0.5000 0.0000
Ge1 Ge 0.0000 0.0000 0.5000
Au1 Au 0.5000 0.5000 0.5000
O1 O 0.5000 0.5000 0.0000
# ρ (g/cm3): 12.9
# Formation energy from raw total energies (eV per atom): -0.802



# HoTaRu2, PBEsol geometry, DFT SCAN
data_HoTaRu2
_chemical_formula_sum 'Ho4 Ta4 Ru8'
_cell_length_a 6.4370
_cell_length_b 6.4370
_cell_length_c 6.4370
_cell_angle_alpha 90.00
_cell_angle_beta 90.00
_cell_angle_gamma 90.00
_symmetry_space_group_name_H-M 'F m -3 m'
_symmetry_Int_Tables_number 225
_symmetry_space_group_name_Hall '-F 4 2 3'
loop_
_atom_site_label
_atom_site_type_symbol
_atom_site_fract_x
_atom_site_fract_y
_atom_site_fract_z
Ho1 Ho 0.0000 0.0000 0.0000
Ta1 Ta 0.0000 0.0000 0.5000
Ru1 Ru 0.2500 0.2500 0.2500
# Formation enthalpy at 0 K (meV per atom): -512.6
# ρ (g/cm3): 13.6



Number 1: uncorrected energy -28.58 eV/atom, V 19.6 A^3/atom. Number 2: uncorrected energy -44.77 eV/atom, V 16.6 A^3/atom. Number 3: uncorrected energy -46.82 eV/atom, V 16.7 A^3/atom.